! TlFe2Ag | the Alexandria database | GGA-PBE | relaxed; values from VASP
&SYSTEM
  ibrav = 0, nat = 4, ntyp = 3
/
ATOMIC_SPECIES
Fe 55.84 Fe.upf
Ag 107.87 Ag.upf
Tl 204.38 Tl.upf
ATOMIC_POSITIONS crystal
Fe 0.4977 0.4977 0.4977
Ag 0.7500 0.7500 0.7500
Fe 0.0023 0.0023 0.0023
Tl 0.2500 0.2500 0.2500
CELL_PARAMETERS angstrom
9.2122 0.0013 0.0007
8.7422 2.9051 0.0007
8.7422 1.4151 2.5371
! SG: No. 166
! Raw total energy (eV/atom): -4.85
! V (Å³/cell): 67.9
! Mass density (g/cm³): 10.375